No. 1
Below is a relaxed TbPr3Y2 crystal, with properties calculated at the GGA-PBE level.

Lattice parameters (Å, degrees): 11.245 9.017 9.017 44.80 51.43 51.43
Sites, in units of the cell vectors:
Tb: 0.000 0.500 0.500
Tb: 0.000 0.000 0.000
Pr: 0.500 0.250 0.750
Pr: 0.500 0.750 0.250
Pr: 0.234 0.016 0.516
Pr: 0.766 0.484 0.984
Pr: 0.766 0.984 0.484
Pr: 0.234 0.516 0.016
Y: 0.922 0.321 0.321
Y: 0.564 0.179 0.179
Y: 0.436 0.821 0.821
Y: 0.078 0.679 0.679

Output
Polymorph energy (0 for the lowest one): 0.563 eV/atom

No. 2
Below is a relaxed Li4Zr3NiSe8 crystal, with properties calculated at the GGA-PBE level.

Lattice parameters (Å, degrees): 7.579 7.830 7.580 118.95 119.99 90.00
Site moments in Bohr magnetons follow the coordinates.
Sites, in units of the cell vectors:
Li: 0.500 0.000 0.000  0.01
Li: 0.500 0.000 0.500  0.00
Li: 0.000 0.000 0.000  0.00
Li: 0.000 0.000 0.500  0.00
Zr: 0.500 0.500 0.000  0.01
Zr: 0.500 0.500 0.500  0.01
Zr: 0.000 0.500 0.500  0.01
Ni: 0.000 0.500 0.000  1.01
Se: 0.242 0.741 0.999  0.04
Se: 0.242 0.741 0.484  0.04
Se: 0.249 0.248 0.498  0.00
Se: 0.757 0.741 0.999  0.04
Se: 0.243 0.259 0.001  0.04
Se: 0.751 0.752 0.502  0.00
Se: 0.758 0.259 0.516  0.04
Se: 0.758 0.259 0.001  0.04

Output
Formation energy from raw total energies: -1.15 eV/atom

No. 3
Below is a relaxed Li2HfMgTe4 crystal, with properties calculated at the GGA-PBE level.

Lattice parameters (Å, degrees): 4.150 7.250 7.346 108.89 90.00 90.00
Sites, in units of the cell vectors:
Li: 0.500 0.000 0.500
Li: 0.000 0.500 0.500
Hf: 0.500 0.500 0.000
Mg: 0.000 0.000 0.000
Te: 0.500 0.251 0.240
Te: 0.500 0.749 0.760
Te: 0.000 0.260 0.755
Te: 0.000 0.740 0.245

Output
Formation energy from raw total energies: -0.87 eV/atom

No. 4
Below is a relaxed Li17CaPr crystal, with properties calculated at the GGA-PBE level.

Lattice parameters (Å, degrees): 7.577 7.577 7.577 82.59 82.59 82.59
Sites, in units of the cell vectors:
Li: 0.295 0.002 0.703
Li: 0.703 0.295 0.002
Li: 0.002 0.703 0.295
Li: 0.295 0.703 0.002
Li: 0.002 0.295 0.703
Li: 0.703 0.002 0.295
Li: 0.349 0.857 0.349
Li: 0.349 0.349 0.857
Li: 0.857 0.349 0.349
Li: 0.647 0.155 0.647
Li: 0.647 0.647 0.155
Li: 0.155 0.647 0.647
Li: 0.997 0.504 0.997
Li: 0.997 0.997 0.504
Li: 0.504 0.997 0.997
Li: 0.902 0.902 0.902
Li: 0.098 0.098 0.098
Ca: 0.652 0.652 0.652
Pr: 0.343 0.343 0.343

No. 5
Below is a relaxed Li2SmGaO4 crystal, with properties calculated at the GGA-PBE level.

Lattice parameters (Å, degrees): 3.274 6.236 9.459 90.00 90.00 105.22
Sites, in units of the cell vectors:
Li: 0.407 0.813 0.536
Li: 0.593 0.187 0.036
Li: 0.593 0.187 0.464
Li: 0.407 0.813 0.964
Sm: 0.078 0.156 0.750
Sm: 0.922 0.844 0.250
Ga: 0.796 0.592 0.750
Ga: 0.204 0.408 0.250
O: 0.318 0.636 0.120
O: 0.682 0.364 0.620
O: 0.682 0.364 0.880
O: 0.318 0.636 0.380
O: 0.000 0.000 0.500
O: 0.000 0.000 0.000
O: 0.387 0.775 0.750
O: 0.613 0.225 0.250

Output
Formation energy from raw total energies: -2.17 eV/atom

No. 6
Below is a relaxed Ti4Ga2Au5 crystal, with properties calculated at the GGA-PBE level.

Lattice parameters (Å, degrees): 2.947 7.004 9.167 95.17 90.00 90.00
Sites, in units of the cell vectors:
Ti: 0.500 0.726 0.556
Ti: 0.500 0.171 0.885
Ti: 0.500 0.274 0.444
Ti: 0.500 0.829 0.115
Ga: 0.000 0.059 0.636
Ga: 0.000 0.941 0.364
Au: 0.000 0.561 0.311
Au: 0.000 0.175 0.156
Au: 0.000 0.500 0.000
Au: 0.000 0.825 0.844
Au: 0.000 0.439 0.689

Table of electronic total energy (eV per atom), in record order: -4.745 -5.333 -4.358 -2.019 -6.091 -5.234